No. 1
DFT (PBE) results for a relaxed structure of BiPd3Se.

a = 4.7651 Å, b = 4.7651 Å, c = 4.7651 Å
α = 90.00°, β = 90.00°, γ = 90.00°
Last column: nearest neighbours and their distance in Å.
Positions (direct):
Bi  0.0000  0.0000  0.0000  12 Pd 3.37
Pd  0.0000  0.5000  0.5000  2 Se 2.38
Pd  0.5000  0.0000  0.5000  2 Se 2.38
Pd  0.5000  0.5000  0.0000  2 Se 2.38
Se  0.5000  0.5000  0.5000  6 Pd 2.38

Summary:
- ρ: 9.3 Mg/m³
- Space group: Pm-3m, No. 221
- Formation energy from raw total energies: 25.4 meV per atom
- Crystal system: cubic
- DOS at the Fermi energy: 0.91 states/eV/atom

No. 2
DFT (PBE) results for a relaxed structure of LiAcAuO4.

a = 7.4204 Å, b = 7.4204 Å, c = 7.4204 Å
α = 131.03°, β = 118.76°, γ = 82.09°
Last column: nearest neighbours and their distance in Å.
Positions (direct):
Li  0.3705  0.1205  0.2500  2 O 1.87
Li  0.6295  0.8795  0.7500  2 O 1.87
Ac  0.0000  0.5000  0.5000  6 O 2.42-2.64
Ac  0.5000  0.5000  0.0000  6 O 2.42-2.64
Au  0.0000  0.0000  0.5000  4 O 2.04
Au  0.0000  0.5000  0.0000  4 O 2.04
O  0.1563  0.7306  0.4258  2 Au 2.04
O  0.1952  0.2694  0.9258  2 Au 2.04
O  0.2871  0.3007  0.5136  1 Li 1.87
O  0.2871  0.7734  0.9864  1 Li 1.87
O  0.7129  0.2266  0.0136  1 Li 1.87
O  0.7129  0.6993  0.4864  1 Li 1.87
O  0.8048  0.7306  0.0742  2 Au 2.04
O  0.8437  0.2694  0.5742  2 Au 2.04

Summary:
- ρ: 6.3 Mg/m³
- Space group: Imma, No. 74
- Formation energy from raw total energies: -1423.9 meV per atom
- Crystal system: orthorhombic
- DOS at the Fermi energy: 0.68 states/eV/atom